Record 1
Entry from Alexandria: a geometry-optimized Pr4Nd6Tm structure (PBE).

Results
Total magnetic moment = 0.00 μB per formula unit
Energy relative to the elements = 0.2687 eV per atom
Total DFT energy (no corrections) = -4.476 eV/atom

Cell lengths 9.9012, 9.9012, 9.9012 Å; angles 139.96, 139.96, 57.92 degrees
Last column: nearest neighbours and their distance in Å.
Positions (direct):
Pr1 0.1965 0.1965 0.6465  7 Nd 3.33-3.69, 1 Pr 3.39
Pr2 0.4500 0.8035 0.0000  7 Nd 3.33-3.69, 1 Pr 3.39
Pr3 0.5500 0.5500 0.3535  7 Nd 3.33-3.69, 1 Pr 3.39
Pr4 0.8035 0.4500 0.0000  7 Nd 3.33-3.69, 1 Pr 3.39
Nd1 0.0000 0.5000 0.5000  4 Pr 3.33, 2 Tm 3.39
Nd2 0.0131 0.6354 0.0000  5 Pr 3.42-3.69, 1 Tm 3.54, 1 Nd 3.62
Nd3 0.3646 0.3646 0.3777  5 Pr 3.42-3.69, 1 Tm 3.54, 1 Nd 3.62
Nd4 0.5000 0.0000 0.5000  4 Pr 3.33, 2 Tm 3.39
Nd5 0.6354 0.0131 0.0000  5 Pr 3.42-3.69, 1 Tm 3.54, 1 Nd 3.62
Nd6 0.9869 0.9869 0.6223  5 Pr 3.42-3.69, 1 Tm 3.54, 1 Nd 3.62
Tm1 0.0000 0.0000 0.0000  8 Nd 3.39-3.54

---

Record 2
Entry from Alexandria: a geometry-optimized ZnOsW2 structure (PBE).

Results
Total magnetic moment = 0.00 μB per formula unit
Energy relative to the elements = 0.2627 eV per atom
Total DFT energy (no corrections) = -9.340 eV/atom

Cell lengths 4.8119, 4.8119, 4.7982 Å; angles 100.34, 100.34, 34.06 degrees
Last column: nearest neighbours and their distance in Å.
Positions (direct):
Zn1 0.0000 0.0000 0.0000  7 W 2.72-2.80, 3 Os 2.78-2.81, 2 Zn 2.82
Os1 0.2497 0.2497 0.7415  7 W 2.68-2.83, 3 Zn 2.78-2.81, 2 Os 2.82
W1 0.5101 0.5101 0.5083  3 Os 2.68-2.83, 4 Zn 2.76-2.80, 5 W 2.79-2.83
W2 0.7549 0.7549 0.2410  3 Zn 2.72-2.79, 4 Os 2.77-2.79, 5 W 2.79-2.83